Ba2RuAuN after structural relaxation. Source: the Alexandria database, functional PBE.

Output
Crystal system = tetragonal
Uncorrected formation energy = -0.468 eV per atom
Total DFT energy (no corrections) = -27.07 eV per formula unit

a b c (Å): 5.827 5.827 3.816
angles (deg): 90.00 90.00 90.00
Sites, in units of the cell vectors:
1 Ba 0.000 0.500 0.000
2 Ba 0.500 0.000 0.000
3 Ru 0.000 0.000 0.500
4 Au 0.500 0.500 0.500
5 N 0.000 0.000 0.000

TaFe4Te after structural relaxation. Source: the Alexandria database, functional PBE.

Output
Crystal system = cubic
Uncorrected formation energy = 0.131 eV per atom
Total DFT energy (no corrections) = -48.06 eV per formula unit

a b c (Å): 4.935 4.935 4.935
angles (deg): 60.00 60.00 60.00
Sites, in units of the cell vectors:
1 Ta 0.000 0.000 0.000
2 Fe 0.121 0.626 0.626
3 Fe 0.626 0.121 0.626
4 Fe 0.626 0.626 0.121
5 Fe 0.626 0.626 0.626
6 Te 0.250 0.250 0.250

> What is the formula in the second record?

TaFe4Te